(1)
Compound: Tc2IrPt2
Source: the Alexandria database
Functional: PBE
Structure: relaxed

Unit cell a=3.8722 b=4.8106 c=7.3442 alpha=70.00 beta=58.19 gamma=113.75
With the nearest neighbours (Å) after each atom.
Fractional positions:
Ir: 0.0000 0.5000 0.0000  6 Tc 2.70-2.77, 6 Pt 2.72-2.83
Tc: 0.5663 0.2700 0.8188  3 Tc 2.62-2.91, 6 Pt 2.67-2.85, 3 Ir 2.70-2.77
Tc: 0.4337 0.7300 0.1812  3 Tc 2.62-2.91, 6 Pt 2.67-2.85, 3 Ir 2.70-2.77
Pt: 0.8139 0.9078 0.3897  6 Tc 2.67-2.85, 3 Ir 2.72-2.83, 3 Pt 2.78-2.81
Pt: 0.1861 0.0922 0.6103  6 Tc 2.67-2.85, 3 Ir 2.72-2.83, 3 Pt 2.78-2.81

Output
Density of states at the Fermi level (states/eV/f.u.): 4.92
E (eV/f.u.): -42.3
Space-group type: No. 12

---

(2)
Compound: Y3IrO6
Source: the Alexandria database
Functional: PBE
Structure: relaxed

Unit cell a=6.5748 b=6.5748 c=6.5748 alpha=93.68 beta=93.68 gamma=93.68
With the nearest neighbours (Å) after each atom.
Fractional positions:
Y: 0.5680 0.0803 0.2584  6 O 2.24-2.34
Y: 0.2584 0.5680 0.0803  6 O 2.24-2.34
Y: 0.9197 0.7416 0.4320  6 O 2.24-2.34
Y: 0.0803 0.2584 0.5680  6 O 2.24-2.34
Y: 0.4320 0.9197 0.7416  6 O 2.24-2.34
Y: 0.7416 0.4320 0.9197  6 O 2.24-2.34
O: 0.0822 0.9334 0.6945  1 Ir 2.14, 3 Y 2.24-2.34
O: 0.4137 0.1943 0.5450  1 Ir 2.10, 3 Y 2.27-2.30
O: 0.6945 0.0822 0.9334  1 Ir 2.14, 3 Y 2.24-2.34
O: 0.0666 0.3055 0.9178  1 Ir 2.14, 3 Y 2.24-2.34
O: 0.3055 0.9178 0.0666  1 Ir 2.14, 3 Y 2.24-2.34
O: 0.9178 0.0666 0.3055  1 Ir 2.14, 3 Y 2.24-2.34
O: 0.4550 0.5863 0.8057  1 Ir 2.10, 3 Y 2.27-2.30
O: 0.5450 0.4137 0.1943  1 Ir 2.10, 3 Y 2.27-2.30
O: 0.5863 0.8057 0.4550  1 Ir 2.10, 3 Y 2.27-2.30
O: 0.8057 0.4550 0.5863  1 Ir 2.10, 3 Y 2.27-2.30
O: 0.1943 0.5450 0.4137  1 Ir 2.10, 3 Y 2.27-2.30
O: 0.9334 0.6945 0.0822  1 Ir 2.14, 3 Y 2.24-2.34
Ir: 0.5000 0.5000 0.5000  6 O 2.10
Ir: 0.0000 0.0000 0.0000  6 O 2.14

Output
Density of states at the Fermi level (states/eV/f.u.): 0.00
Space-group type: No. 148
ΔE_f (raw) (meV per atom): -2756
E above lowest polymorph (eV/atom): 0.000

---

(3)
Compound: Tb2NdIr9
Source: the Alexandria database
Functional: PBE
Structure: relaxed

Unit cell a=5.3447 b=5.3447 c=9.3014 alpha=73.30 beta=73.30 gamma=60.00
With the nearest neighbours (Å) after each atom.
Fractional positions:
Ir: 0.5818 0.5818 0.7533  7 Ir 2.65-2.70
Ir: 0.5000 0.5000 0.5000  6 Ir 2.70
Ir: 0.4182 0.9169 0.2467  7 Ir 2.65-2.70
Ir: 0.9169 0.4182 0.2467  7 Ir 2.65-2.70
Ir: 0.3328 0.3328 0.0017  6 Ir 2.65-2.67
Ir: 0.4182 0.4182 0.2467  7 Ir 2.65-2.70
Ir: 0.5818 0.0831 0.7533  7 Ir 2.65-2.70
Ir: 0.0831 0.5818 0.7533  7 Ir 2.65-2.70
Ir: 0.6672 0.6672 0.9983  6 Ir 2.65-2.67
Nd: 0.0000 0.0000 0.0000  18 Ir 3.09-3.44
Tb: 0.8605 0.8605 0.4186  12 Ir 3.07-3.32, 3 Tb 3.40
Tb: 0.1395 0.1395 0.5814  12 Ir 3.07-3.32, 3 Tb 3.40

Output
Density of states at the Fermi level (states/eV/f.u.): 12.70
E (eV/f.u.): -100.6
Space-group type: No. 166